# Nd4MgS7 (PBE, relaxed)
data_Nd4MgS7
_cell_length_a 6.785
_cell_length_b 6.785
_cell_length_c 11.791
_cell_angle_alpha 105.00
_cell_angle_beta 105.00
_cell_angle_gamma 33.88
_space_group_name_H-M_alt 'P 1'
_space_group_IT_number 1
loop_
_space_group_symop_operation_xyz
'x,y,z'
loop_
_atom_site_label
_atom_site_type_symbol
_atom_site_fract_x
_atom_site_fract_y
_atom_site_fract_z
Nd1 Nd 0.000 0.000 0.000
Nd2 Nd 0.190 0.190 0.763
Nd3 Nd 0.573 0.573 0.351
Nd4 Nd 0.880 0.880 0.556
Mg1 Mg 0.771 0.771 0.143
S1 S 0.160 0.160 0.213
S2 S 0.218 0.218 0.512
S3 S 0.387 0.387 0.080
S4 S 0.542 0.542 0.616
S5 S 0.633 0.633 0.929
S6 S 0.846 0.846 0.780
S7 S 0.917 0.917 0.337
# Energy relative to the elements, uncorrected = -1.913 eV/atom
# Energy = -6.043 eV per atom

---

# DyPu2Pd (PBE, relaxed)
data_DyPu2Pd
_cell_length_a 3.683
_cell_length_b 3.683
_cell_length_c 7.536
_cell_angle_alpha 90.00
_cell_angle_beta 90.00
_cell_angle_gamma 90.00
_space_group_name_H-M_alt 'P 1'
_space_group_IT_number 1
loop_
_space_group_symop_operation_xyz
'x,y,z'
loop_
_atom_site_label
_atom_site_type_symbol
_atom_site_fract_x
_atom_site_fract_y
_atom_site_fract_z
Dy1 Dy 0.000 0.000 0.000
Pu1 Pu 0.500 0.500 0.296
Pu2 Pu 0.500 0.500 0.704
Pd1 Pd 0.000 0.000 0.500
# Formation energy from the elements = -92 meV per atom
# Energy = -9.707 eV per atom

---

# TePdRhN2 (PBE, relaxed)
data_TePdRhN2
_cell_length_a 3.879
_cell_length_b 3.879
_cell_length_c 5.990
_cell_angle_alpha 90.00
_cell_angle_beta 90.00
_cell_angle_gamma 90.00
_space_group_name_H-M_alt 'P 1'
_space_group_IT_number 1
loop_
_space_group_symop_operation_xyz
'x,y,z'
loop_
_atom_site_label
_atom_site_type_symbol
_atom_site_fract_x
_atom_site_fract_y
_atom_site_fract_z
Te1 Te 0.000 0.000 0.000
Pd1 Pd 0.000 0.000 0.500
Rh1 Rh 0.500 0.500 0.000
N1 N 0.000 0.500 0.500
N2 N 0.500 0.000 0.500
# Energy relative to the elements, uncorrected = 1.484 eV/atom
# Energy = -4.983 eV per atom
# Energy above the lowest structure with this stoichiometry = 0.5279 eV per atom

---

# CsScNi2Br (PBE, relaxed)
data_CsScNi2Br
_cell_length_a 4.889
_cell_length_b 4.889
_cell_length_c 5.020
_cell_angle_alpha 90.00
_cell_angle_beta 90.00
_cell_angle_gamma 90.00
_space_group_name_H-M_alt 'P 1'
_space_group_IT_number 1
loop_
_space_group_symop_operation_xyz
'x,y,z'
loop_
_atom_site_label
_atom_site_type_symbol
_atom_site_fract_x
_atom_site_fract_y
_atom_site_fract_z
Cs1 Cs 0.000 0.000 0.000
Sc1 Sc 0.500 0.500 0.000
Ni1 Ni 0.000 0.500 0.500
Ni2 Ni 0.500 0.000 0.500
Br1 Br 0.500 0.500 0.500
# Energy relative to the elements, uncorrected = 0.735 eV/atom
# Energy = -3.349 eV per atom

---

What did the fourth record say?
# CsScNi2Br (PBE, relaxed)
data_CsScNi2Br
_cell_length_a 4.889
_cell_length_b 4.889
_cell_length_c 5.020
_cell_angle_alpha 90.00
_cell_angle_beta 90.00
_cell_angle_gamma 90.00
_space_group_name_H-M_alt 'P 1'
_space_group_IT_number 1
loop_
_space_group_symop_operation_xyz
'x,y,z'
loop_
_atom_site_label
_atom_site_type_symbol
_atom_site_fract_x
_atom_site_fract_y
_atom_site_fract_z
Cs1 Cs 0.000 0.000 0.000
Sc1 Sc 0.500 0.500 0.000
Ni1 Ni 0.000 0.500 0.500
Ni2 Ni 0.500 0.000 0.500
Br1 Br 0.500 0.500 0.500
# Energy relative to the elements, uncorrected = 0.735 eV/atom
# Energy = -3.349 eV per atom